Compound: MoOsPt2
Source: Alexandria via LeMat-Bulk
Functional: PBE
Structure: optimized geometry

Computed properties:
formation energy from the elements: -75 meV per atom

Geometry as POSCAR:
```
MoOsPt2
1.0
-1.989 1.828 8.973
-0.780 -0.637 9.317
0.764 1.655 9.192
Mo Os Pt
1 1 2
Direct
0.498 0.498 0.498
0.753 0.753 0.753
0.001 0.001 0.001
0.247 0.247 0.247
```


Compound: MoOs2Pt
Source: Alexandria via LeMat-Bulk
Functional: PBE
Structure: optimized geometry

Computed properties:
formation energy from the elements: -28 meV per atom

Geometry as POSCAR:
```
MoOs2Pt
1.0
-0.659 2.543 2.938
-0.774 -2.080 1.627
4.481 -2.697 3.339
Mo Os Pt
1 2 1
Direct
0.500 0.740 0.760
0.000 0.987 0.013
0.500 0.274 0.226
0.000 0.499 0.501
```


Compound: MoOs2Pt
Source: Alexandria via LeMat-Bulk
Functional: PBE
Structure: optimized geometry

Computed properties:
formation energy from the elements: 33 meV per atom

Geometry as POSCAR:
```
MoOs2Pt
1.0
4.808 -0.002 0.001
4.017 2.641 0.001
0.798 0.239 4.718
Mo Os Pt
1 2 1
Direct
0.253 0.253 0.246
0.003 0.003 0.985
0.744 0.744 0.772
0.500 0.500 0.496
```


| no. | distance to the lowest polymorph of the same formula (eV/atom) | calculated total energy (Ry per atom) | volume (Å³/atom) |
| --- | --- | --- | --- |
| 1 | 0.039 | -0.63286 | 15.31 |
| 2 | 0.037 | -0.72474 | 15.08 |
| 3 | 0.097 | -0.72030 | 14.99 |